The following is a PBE calculation of a relaxed structure of MnTl2I2Cl2, from Alexandria.

a = 4.377 Å, b = 7.855 Å, c = 8.342 Å
α = 62.35°, β = 74.79°, γ = 73.82°
Last column: magnetic moment on the atom in μB.
Fractional coordinates of all 7 atoms:
Mn  0.000  0.000  0.000  4.36
Tl  0.155  0.387  0.302  0.01
Tl  0.845  0.613  0.698  0.01
I  0.535  0.204  0.726  0.06
I  0.465  0.796  0.274  0.06
Cl  0.179  0.738  0.905  0.03
Cl  0.821  0.262  0.095  0.03

For the magnetization, the calculation gives 5.0 μB per formula unit. The density of states at the Fermi level is 0.00 states/eV/f.u. The density comes out at 5.43 g/cm³.



The following is a PBE calculation of a relaxed structure of CrCoSe2, from Alexandria.

a = 7.198 Å, b = 7.198 Å, c = 3.382 Å
α = 89.77°, β = 89.77°, γ = 27.17°
Last column: magnetic moment on the atom in μB.
Fractional coordinates of all 4 atoms:
Co  0.572  0.572  0.626  -1.38
Cr  0.178  0.178  0.124  2.82
Se  0.009  0.009  0.127  -0.10
Se  0.741  0.741  0.623  -0.11

The value obtained for the energy above the most stable polymorph in this dataset is 0.67 eV/f.u. For the magnetization, the calculation gives 1.4 μB per formula unit. The density of states at the Fermi level is 4.44 states/eV/f.u. The density comes out at 5.58 g/cm³.



The following is a PBE calculation of a relaxed structure of Ga2SiO, from Alexandria.

a = 5.105 Å, b = 5.105 Å, c = 6.403 Å
α = 66.51°, β = 66.51°, γ = 90.00°
Fractional coordinates of all 8 atoms:
Si  0.000  0.000  0.000
Si  0.750  0.250  0.500
O  0.500  0.500  0.000
O  0.250  0.750  0.500
Ga  0.575  0.125  0.250
Ga  0.175  0.625  0.250
Ga  0.375  0.425  0.750
Ga  0.875  0.825  0.750

The value obtained for the energy above the most stable polymorph in this dataset is 0.00 eV/f.u. For the magnetization, the calculation gives 0.0 μB per formula unit. The density of states at the Fermi level is 0.30 states/eV/f.u. The density comes out at 4.42 g/cm³.



The following is a PBE calculation of a relaxed structure of La2Pd3Au, from Alexandria.

a = 4.036 Å, b = 7.460 Å, c = 17.792 Å
α = 90.00°, β = 90.00°, γ = 90.00°
Fractional coordinates of all 24 atoms:
La  0.250  0.666  0.570
La  0.750  0.834  0.070
La  0.250  0.166  0.930
La  0.750  0.334  0.430
La  0.250  0.598  0.795
La  0.750  0.902  0.295
La  0.250  0.098  0.705
La  0.750  0.402  0.205
Pd  0.250  0.772  0.948
Pd  0.750  0.728  0.448
Pd  0.250  0.272  0.552
Pd  0.750  0.228  0.052
Pd  0.250  0.094  0.153
Pd  0.750  0.406  0.653
Pd  0.250  0.594  0.347
Pd  0.750  0.906  0.847
Pd  0.250  0.718  0.194
Pd  0.750  0.782  0.694
Pd  0.250  0.218  0.306
Pd  0.750  0.282  0.806
Au  0.250  0.992  0.435
Au  0.750  0.508  0.935
Au  0.250  0.492  0.065
Au  0.750  0.008  0.565

The value obtained for the energy above the most stable polymorph in this dataset is 0.00 eV/f.u. For the magnetization, the calculation gives 0.0 μB per formula unit. The value obtained for the formation energy from the elements is -0.800 eV/atom. The density of states at the Fermi level is 3.01 states/eV/f.u. The density comes out at 9.85 g/cm³.



The following is a PBE calculation of a relaxed structure of Nd2MgCu2Pd5, from Alexandria.

a = 3.946 Å, b = 9.600 Å, c = 9.600 Å
α = 90.00°, β = 90.00°, γ = 90.00°
Fractional coordinates of all 20 atoms:
Nd  0.000  0.677  0.177
Nd  0.000  0.323  0.823
Nd  0.000  0.177  0.323
Nd  0.000  0.823  0.677
Mg  0.000  0.000  0.000
Mg  0.000  0.500  0.500
Cu  0.000  0.119  0.619
Cu  0.000  0.881  0.381
Cu  0.000  0.619  0.881
Cu  0.000  0.381  0.119
Pd  0.500  0.207  0.068
Pd  0.500  0.793  0.932
Pd  0.500  0.068  0.793
Pd  0.500  0.707  0.432
Pd  0.500  0.932  0.207
Pd  0.500  0.293  0.568
Pd  0.500  0.568  0.707
Pd  0.500  0.432  0.293
Pd  0.500  0.500  0.000
Pd  0.500  0.000  0.500

For the magnetization, the calculation gives 0.0 μB per formula unit. The value obtained for the formation energy from the elements is -0.610 eV/atom. The density of states at the Fermi level is 4.00 states/eV/f.u. The density comes out at 8.88 g/cm³.



The following is a PBE calculation of a relaxed structure of La4Pr3Pd2, from Alexandria.

a = 6.003 Å, b = 6.207 Å, c = 9.409 Å
α = 70.86°, β = 80.53°, γ = 58.89°
Fractional coordinates of all 9 atoms:
La  0.345  0.223  0.208
La  0.655  0.777  0.792
La  0.995  0.202  0.603
La  0.005  0.798  0.397
Pr  0.336  0.434  0.798
Pr  0.000  0.000  0.000
Pr  0.664  0.566  0.202
Pd  0.499  0.750  0.500
Pd  0.501  0.250  0.500

For the magnetization, the calculation gives 0.0 μB per formula unit. The value obtained for the formation energy from the elements is -0.318 eV/atom. The density of states at the Fermi level is 13.33 states/eV/f.u. The density comes out at 6.97 g/cm³.



The following is a PBE calculation of a relaxed structure of AsIrSe2, from Alexandria.

a = 3.040 Å, b = 4.892 Å, c = 4.709 Å
α = 90.00°, β = 90.00°, γ = 90.00°
Fractional coordinates of all 4 atoms:
As  0.500  0.000  0.500
Ir  0.000  0.500  0.500
Se  0.000  0.000  0.000
Se  0.500  0.500  0.000

For the magnetization, the calculation gives 0.0 μB per formula unit. The density of states at the Fermi level is 2.86 states/eV/f.u. The density comes out at 10.08 g/cm³.



The following is a PBE calculation of a relaxed structure of SmTmMgZn, from Alexandria.

a = 5.209 Å, b = 5.209 Å, c = 5.209 Å
α = 60.00°, β = 60.00°, γ = 60.00°
Fractional coordinates of all 4 atoms:
Zn  0.000  0.000  0.000
Tm  0.250  0.250  0.250
Mg  0.500  0.500  0.500
Sm  0.750  0.750  0.750

The value obtained for the energy above the most stable polymorph in this dataset is 0.13 eV/f.u. For the magnetization, the calculation gives 0.0 μB per formula unit. The value obtained for the formation energy from the elements is -0.171 eV/atom. The density of states at the Fermi level is 4.20 states/eV/f.u. The density comes out at 6.80 g/cm³.



The following is a PBE calculation of a relaxed structure of AcCePmAl, from Alexandria.

a = 5.562 Å, b = 5.562 Å, c = 5.562 Å
α = 60.00°, β = 60.00°, γ = 60.00°
Last column: magnetic moment on the atom in μB.
Fractional coordinates of all 4 atoms:
Ac  0.000  0.000  0.000  0.08
Al  0.500  0.500  0.500  -0.01
Ce  0.750  0.750  0.750  0.63
Pm  0.250  0.250  0.250  0.07

For the magnetization, the calculation gives 1.0 μB per formula unit. The value obtained for the formation energy from the elements is 0.092 eV/atom. The density of states at the Fermi level is 9.93 states/eV/f.u. The density comes out at 7.36 g/cm³.



The following is a PBE calculation of a relaxed structure of SrPuGa4, from Alexandria.

a = 4.413 Å, b = 4.314 Å, c = 7.501 Å
α = 90.00°, β = 90.00°, γ = 90.00°
Last column: magnetic moment on the atom in μB.
Fractional coordinates of all 6 atoms:
Sr  0.999  0.997  0.498  0.01
Pu  0.999  0.497  0.998  5.38
Ga  0.499  0.997  0.161  -0.02
Ga  0.499  0.997  0.836  -0.02
Ga  0.499  0.497  0.670  -0.01
Ga  0.499  0.497  0.326  -0.01

The value obtained for the energy above the most stable polymorph in this dataset is 0.00 eV/f.u. For the magnetization, the calculation gives 5.8 μB per formula unit. The value obtained for the formation energy from the elements is -0.366 eV/atom. The density of states at the Fermi level is 15.70 states/eV/f.u. The density comes out at 7.10 g/cm³.



The following is a PBE calculation of a relaxed structure of Re2AuSe, from Alexandria.

a = 3.850 Å, b = 3.850 Å, c = 10.087 Å
α = 79.00°, β = 79.00°, γ = 90.00°
Fractional coordinates of all 8 atoms:
Re  0.575  0.125  0.250
Re  0.175  0.625  0.250
Re  0.375  0.425  0.750
Re  0.875  0.825  0.750
Au  0.000  0.000  0.000
Au  0.750  0.250  0.500
Se  0.500  0.500  0.000
Se  0.250  0.750  0.500

For the magnetization, the calculation gives 0.0 μB per formula unit. The density of states at the Fermi level is 3.61 states/eV/f.u. The density comes out at 14.95 g/cm³.



The following is a PBE calculation of a relaxed structure of LiPmGaSi, from Alexandria.

a = 4.875 Å, b = 4.875 Å, c = 4.875 Å
α = 60.00°, β = 60.00°, γ = 60.00°
Fractional coordinates of all 4 atoms:
Si  0.750  0.750  0.750
Li  0.000  0.000  0.000
Ga  0.250  0.250  0.250
Pm  0.500  0.500  0.500

For the magnetization, the calculation gives 0.0 μB per formula unit. The density of states at the Fermi level is 1.65 states/eV/f.u. The density comes out at 5.06 g/cm³.



no.,total energy (eV/atom)
1,-3.7468
2,-6.1427
3,-4.6315
4,-5.5853
5,-5.1392
6,-5.2555
7,-4.5277
8,-3.1863
9,-4.5420
10,-5.0526
11,-6.9625
12,-4.1029